# 1
Material: Mg2MoPt
Method: DFT, GGA-PBEsol
State: optimized geometry

For the size of the total moment, the calculation gives 0.00 μB/cell. The calculation puts the energy relative to the elements at -0.048 eV per atom.

The space group is Pmm2 (No. 25) and the conventional cell measures 2.8318, 3.9433 and 5.8911 Å, with angles of 90.00, 90.00 and 90.00 degrees. The asymmetric unit holds Mg at (0.0000, 0.0000, 0.0000), Mg at (0.5000, 0.5000, 0.2691), Mo at (0.0000, 0.0000, 0.5308) and Pt at (0.5000, 0.5000, 0.7474).



# 2
Material: ScBeIn3
Method: DFT, GGA-PBEsol
State: optimized geometry

For the size of the total moment, the calculation gives 0.00 μB/cell. The calculation puts the energy relative to the elements at 0.240 eV per atom.

The space group is Pm-3m (No. 221) and the conventional cell measures 4.7849, 4.7849 and 4.7849 Å, with angles of 90.00, 90.00 and 90.00 degrees. The asymmetric unit holds Sc at (0.0000, 0.0000, 0.0000), Be at (0.5000, 0.5000, 0.5000) and In at (0.0000, 0.5000, 0.5000).



# 3
Material: Ir3PdPb
Method: DFT, GGA-PBEsol
State: optimized geometry

For the size of the total moment, the calculation gives 2.69 μB/cell. The calculation puts the energy relative to the elements at 2.662 eV per atom.

The space group is Pm-3m (No. 221) and the conventional cell measures 4.8763, 4.8763 and 4.8763 Å, with angles of 90.00, 90.00 and 90.00 degrees. The asymmetric unit holds Ir at (0.0000, 0.0000, 0.5000), Pd at (0.5000, 0.5000, 0.5000) and Pb at (0.0000, 0.0000, 0.0000).



# 4
Material: CaCuW
Method: DFT, GGA-PBEsol
State: optimized geometry

For the size of the total moment, the calculation gives 0.00 μB/cell. The calculation puts the energy relative to the elements at 0.621 eV per atom.

The space group is I4mm (No. 107) and the conventional cell measures 2.8288, 2.8288 and 12.9669 Å, with angles of 90.00, 90.00 and 90.00 degrees. The asymmetric unit holds Ca at (0.0000, 0.0000, 0.0000), Cu at (0.0000, 0.0000, 0.6767) and W at (0.0000, 0.0000, 0.3073).



# 5
Material: LiMgI2O
Method: DFT, GGA-PBEsol
State: optimized geometry

For the size of the total moment, the calculation gives 1.18 μB/cell. The calculation puts the formation energy without anion corrections at -43.72 kJ per mole of atoms.

The space group is P4/mmm (No. 123) and the conventional cell measures 5.3801, 5.3801 and 3.7601 Å, with angles of 90.00, 90.00 and 90.00 degrees. The asymmetric unit holds Li at (0.0000, 0.0000, 0.0000), Mg at (0.5000, 0.5000, 0.5000), I at (0.0000, 0.5000, 0.0000) and O at (0.0000, 0.0000, 0.5000).



# 6
Material: SrCaLa2
Method: DFT, GGA-PBEsol
State: optimized geometry

For the size of the total moment, the calculation gives 0.00 μB/cell. The calculation puts the energy relative to the elements at 0.057 eV per atom.

The space group is P4mm (No. 99) and the conventional cell measures 3.7757, 3.7757 and 11.1063 Å, with angles of 90.00, 90.00 and 90.00 degrees. The asymmetric unit holds Sr at (0.0000, 0.0000, 0.0000), Ca at (0.5000, 0.5000, 0.2753), La at (0.0000, 0.0000, 0.5217) and La at (0.5000, 0.5000, 0.7339).



# 7
Material: CoNi2IrCl
Method: DFT, GGA-PBEsol
State: optimized geometry

For the size of the total moment, the calculation gives 1.45 μB/cell. The calculation puts the formation energy without anion corrections at 84.26 kJ per mole of atoms.

The space group is P4/mmm (No. 123) and the conventional cell measures 4.0150, 4.0150 and 4.0044 Å, with angles of 90.00, 90.00 and 90.00 degrees. The asymmetric unit holds Co at (0.0000, 0.0000, 0.0000), Ni at (0.0000, 0.5000, 0.5000), Ir at (0.5000, 0.5000, 0.0000) and Cl at (0.0000, 0.0000, 0.5000).



# 8
Material: HgPtPb
Method: DFT, GGA-PBEsol
State: optimized geometry

For the size of the total moment, the calculation gives 0.00 μB/cell. The calculation puts the energy relative to the elements at -0.104 eV per atom.

The space group is F-43m (No. 216) and the conventional cell measures 6.5230, 6.5230 and 6.5230 Å, with angles of 90.00, 90.00 and 90.00 degrees. The asymmetric unit holds Hg at (0.0000, 0.0000, 0.0000), Pt at (0.2500, 0.2500, 0.2500) and Pb at (0.0000, 0.0000, 0.5000).



# 9
Material: Ta2BeCd
Method: DFT, GGA-PBEsol
State: optimized geometry

For the size of the total moment, the calculation gives 0.00 μB/cell. The calculation puts the energy relative to the elements at 0.278 eV per atom.

The space group is P2/m (No. 10) and the conventional cell measures 2.8419, 3.9442 and 5.7063 Å, with angles of 90.00, 94.50 and 90.00 degrees. The asymmetric unit holds Ta at (0.0354, 0.0000, 0.2709), Be at (0.5000, 0.5000, 0.5000) and Cd at (0.5000, 0.5000, 0.0000).



# 10
Material: CaAl2Ir2
Method: DFT, GGA-PBEsol
State: optimized geometry

For the size of the total moment, the calculation gives 0.00 μB/cell. The calculation puts the energy relative to the elements at -0.680 eV per atom.

The space group is I4/mmm (No. 139) and the conventional cell measures 4.0692, 4.0692 and 10.8472 Å, with angles of 90.00, 90.00 and 90.00 degrees. The asymmetric unit holds Ca at (0.0000, 0.0000, 0.0000), Al at (0.0000, 0.5000, 0.2500) and Ir at (0.0000, 0.0000, 0.3847).



# 11
Material: Sr2VFeAsO3
Method: DFT, GGA-PBEsol
State: optimized geometry

For the size of the total moment, the calculation gives 3.25 μB/cell. The calculation puts the formation energy without anion corrections at -196.57 kJ per mole of atoms.

The space group is P4/nmm (No. 129, origin choice 2) and the conventional cell measures 3.8703, 3.8703 and 15.2443 Å, with angles of 90.00, 90.00 and 90.00 degrees. The asymmetric unit holds Sr at (0.2500, 0.2500, 0.0872), Sr at (0.2500, 0.2500, 0.3195), V at (0.2500, 0.2500, 0.8008), Fe at (0.2500, 0.7500, 0.5000), As at (0.2500, 0.2500, 0.5814), O at (0.2500, 0.2500, 0.9270) and O at (0.2500, 0.7500, 0.2087).



# 12
Material: CaTaCo2
Method: DFT, GGA-PBEsol
State: optimized geometry

For the size of the total moment, the calculation gives 0.00 μB/cell. The calculation puts the energy relative to the elements at 0.366 eV per atom.

The space group is R-3m (No. 166, hexagonal axes) and the conventional cell measures 3.1692, 3.1692 and 22.9483 Å, with angles of 90.00, 90.00 and 120.00 degrees. The asymmetric unit holds Ca at (0.0000, 0.0000, 0.0000), Ta at (0.0000, 0.0000, 0.5000) and Co at (0.0000, 0.0000, 0.2371).



Among the records above, which one has the highest size of the total moment?
Sr2VFeAsO3